[1]
A relaxed structure of Pm2Sm4Bi3N2, computed with PBE-GGA.

a b c (Å): 4.797 4.797 13.625
angles (deg): 100.14 100.14 90.00
Element x y z (fractional)
Pm 0.309 0.309 0.618
Pm 0.691 0.691 0.382
Sm 0.416 0.916 0.832
Sm 0.916 0.416 0.832
Sm 0.084 0.584 0.168
Sm 0.584 0.084 0.168
Bi 0.000 0.000 0.000
Bi 0.180 0.180 0.360
Bi 0.820 0.820 0.640
N 0.396 0.396 0.792
N 0.604 0.604 0.208

Values from the calculation:
Space group: I4/mmm (139)
Size of the total moment (μB/f.u.): 0.00
Total DFT energy (no corrections) (eV/atom): -6.1794

---

[2]
A relaxed structure of TbPmBiN, computed with PBE-GGA.

a b c (Å): 4.622 4.622 9.280
angles (deg): 90.00 90.00 90.00
Element x y z (fractional)
Tb 0.000 0.000 0.500
Tb 0.500 0.500 0.500
Pm 0.500 0.000 0.820
Pm 0.000 0.500 0.180
Bi 0.000 0.500 0.808
Bi 0.500 0.000 0.192
N 0.000 0.500 0.427
N 0.500 0.000 0.573

Values from the calculation:
Space group: P4/nmm (129)
Size of the total moment (μB/f.u.): 0.00
Total DFT energy (no corrections) (eV/atom): -6.6512

---

[3]
A relaxed structure of PmThBi2N, computed with PBE-GGA.

a b c (Å): 4.247 4.247 15.135
angles (deg): 90.00 90.00 90.00
Element x y z (fractional)
Pm 0.500 0.000 0.064
Pm 0.000 0.500 0.936
Th 0.500 0.000 0.571
Th 0.000 0.500 0.429
Bi 0.000 0.500 0.721
Bi 0.000 0.500 0.154
Bi 0.500 0.000 0.846
Bi 0.500 0.000 0.279
N 0.000 0.000 0.500
N 0.500 0.500 0.500

Values from the calculation:
Space group: P4/nmm (129)
Size of the total moment (μB/f.u.): 0.00
Total DFT energy (no corrections) (eV/atom): -6.5452

---

[4]
A relaxed structure of Pm4TlBiN, computed with PBE-GGA.

a b c (Å): 6.935 6.938 8.918
angles (deg): 90.00 112.88 90.00
Element x y z (fractional)
Pm 0.911 0.250 0.821
Pm 0.406 0.750 0.812
Pm 0.089 0.750 0.179
Pm 0.594 0.250 0.188
Pm 0.500 0.500 0.500
Pm 0.000 0.000 0.500
Pm 0.500 0.000 0.500
Pm 0.000 0.500 0.500
Tl 0.110 0.250 0.220
Tl 0.890 0.750 0.780
Bi 0.606 0.750 0.211
Bi 0.394 0.250 0.789
N 0.247 0.750 0.493
N 0.753 0.250 0.507

Values from the calculation:
Space group: Cmcm (63)
Size of the total moment (μB/f.u.): 0.00
Total DFT energy (no corrections) (eV/atom): -5.5950

---

[5]
A relaxed structure of Pm2TmBi2N2, computed with PBE-GGA.

a b c (Å): 4.475 4.475 8.678
angles (deg): 104.94 104.94 90.00
Element x y z (fractional)
Pm 0.408 0.408 0.816
Pm 0.592 0.592 0.184
Tm 0.000 0.000 0.000
Bi 0.212 0.212 0.425
Bi 0.788 0.788 0.575
N 0.000 0.500 0.000
N 0.500 0.000 0.000

Values from the calculation:
Space group: I4/mmm (139)
Size of the total moment (μB/f.u.): 0.00
Total DFT energy (no corrections) (eV/atom): -6.4070

---

[6]
A relaxed structure of PmUBiN2, computed with PBE-GGA.

a b c (Å): 3.957 3.957 7.097
angles (deg): 106.19 106.19 90.00
Element x y z (fractional)
Pm 0.841 0.841 0.682
U 0.171 0.171 0.341
Bi 0.511 0.511 0.022
N 0.739 0.239 0.478
N 0.239 0.739 0.478

Values from the calculation:
Space group: I4mm (107)
Size of the total moment (μB/f.u.): 0.49
Total DFT energy (no corrections) (eV/atom): -8.5494